[1]
Density functional theory data (GGA-PBE) for crystalline HfTiRuBr2 at its relaxed geometry.

Unit cell a=5.0354 b=5.0354 c=4.9288 alpha=90.00 beta=90.00 gamma=90.00
Positions (direct):
Hf 0.0000 0.0000 0.0000
Ti 0.5000 0.5000 0.0000
Ru 0.0000 0.0000 0.5000
Br 0.0000 0.5000 0.5000
Br 0.5000 0.0000 0.5000

Output
Space group = P4/mmm, No. 123
Formation energy (no corrections) = 0.80 eV/atom

---

[2]
Density functional theory data (GGA-PBE) for crystalline PmYOs at its relaxed geometry.

Unit cell a=6.8500 b=6.8500 c=6.8500 alpha=90.00 beta=90.00 gamma=90.00
Positions (direct):
Pm 0.0000 0.0000 0.0000
Pm 0.0000 0.5000 0.5000
Pm 0.5000 0.0000 0.5000
Pm 0.5000 0.5000 0.0000
Y 0.0000 0.0000 0.5000
Y 0.0000 0.5000 0.0000
Y 0.5000 0.0000 0.0000
Y 0.5000 0.5000 0.5000
Os 0.2500 0.2500 0.2500
Os 0.2500 0.7500 0.7500
Os 0.7500 0.2500 0.7500
Os 0.7500 0.7500 0.2500

Output
Space group = F-43m, No. 216
ΔH_f (0 K) = -0.118 eV/atom
Offset from the most stable computed form = 0.05 eV per formula unit

---

[3]
Density functional theory data (GGA-PBE) for crystalline RbLaO at its relaxed geometry.

Unit cell a=4.1485 b=4.1485 c=15.9771 alpha=90.00 beta=90.00 gamma=120.00
Positions (direct):
Rb 0.3333 0.6667 0.1386
Rb 0.6667 0.3333 0.8614
La 0.3333 0.6667 0.4096
La 0.6667 0.3333 0.5904
O 0.3333 0.6667 0.5569
O 0.6667 0.3333 0.4431

Output
Space group = P-3m1, No. 164
Formation energy (no corrections) = -1.72 eV/atom

---

Number 1: electronic total energy -26.5 eV for the cell shown. Number 2: electronic total energy -91.2 eV for the cell shown. Number 3: electronic total energy -32.0 eV for the cell shown.